DFT (PBE) results for a relaxed GaNiGeP2 crystal.

The structure in POSCAR format:
```
GaNiGeP2
1.0
-4.377 -1.439 -1.338
-0.697 -1.638 4.041
-1.813 4.217 1.397
Ni Ge Ga P
1 1 1 2
Direct
0.000 0.500 0.000 Ni
0.000 0.000 0.000 Ge
0.500 0.500 0.500 Ga
0.000 0.000 0.500 P
0.500 0.000 0.000 P
```

## Properties
Space-group type ... P4/mmm (123)
Total energy ... -4.023 eV per atom

---

DFT (PBE) results for a relaxed Ac4La2Nd3 crystal.

The structure in POSCAR format:
```
Ac4La2Nd3
1.0
-0.783 3.432 4.125
-7.721 -6.563 0.431
8.013 -1.427 2.708
Ac La Nd
4 2 3
Direct
0.777 0.553 0.881 Ac
0.223 0.447 0.119 Ac
0.448 0.896 0.225 Ac
0.552 0.104 0.775 Ac
0.667 0.335 0.334 La
0.333 0.665 0.666 La
0.889 0.777 0.450 Nd
0.111 0.223 0.550 Nd
0.000 0.000 0.000 Nd
```

## Properties
Space-group type ... C2/m (12)
Energy above the lowest structure with this stoichiometry ... 0 meV/atom

---

DFT (PBE) results for a relaxed Li2Ce3Rh4 crystal.

The structure in POSCAR format:
```
Li2Ce3Rh4
1.0
7.677 0.363 0.260
1.014 6.880 -0.939
1.014 1.328 6.816
Li Ce Rh
4 6 8
Direct
0.446 0.190 0.505 Li
0.054 0.495 0.810 Li
0.554 0.810 0.495 Li
0.946 0.505 0.190 Li
0.904 0.024 0.257 Ce
0.596 0.743 0.976 Ce
0.096 0.976 0.743 Ce
0.404 0.257 0.024 Ce
0.250 0.621 0.379 Ce
0.750 0.379 0.621 Ce
0.297 0.003 0.248 Rh
0.203 0.752 0.997 Rh
0.703 0.997 0.752 Rh
0.797 0.248 0.003 Rh
0.092 0.286 0.481 Rh
0.408 0.519 0.714 Rh
0.908 0.714 0.519 Rh
0.592 0.481 0.286 Rh
```

## Properties
Space-group type ... C2/c (15)
Total energy ... -6.182 eV per atom

---

DFT (PBE) results for a relaxed Cr2IrS2 crystal.

The structure in POSCAR format:
```
Cr2IrS2
1.0
-3.363 -0.221 -1.244
0.507 -3.476 -0.752
-3.117 -3.132 3.795
Cr S Ir
2 2 1
Direct
0.386 0.386 0.227 Cr
0.614 0.614 0.773 Cr
0.750 0.250 0.500 S
0.250 0.750 0.500 S
0.000 0.000 0.000 Ir
```

## Properties
Space-group type ... I4/mmm (139)
E_form (uncorrected) ... 30.6 kJ/mol of atoms
Energy above the lowest structure with this stoichiometry ... 122 meV/atom

---

DFT (PBE) results for a relaxed K2HgAsBr6 crystal.

The structure in POSCAR format:
```
K2HgAsBr6
1.0
7.973 0.009 -0.009
0.009 7.973 -0.009
-3.999 -3.999 5.580
K Hg As Br
2 1 1 6
Direct
0.794 0.294 0.588 K
0.294 0.794 0.588 K
0.493 0.493 0.985 Hg
0.991 0.991 0.981 As
0.750 0.750 0.973 Br
0.749 0.749 0.499 Br
0.224 0.225 0.975 Br
0.750 0.225 0.974 Br
0.231 0.231 0.461 Br
0.225 0.750 0.974 Br
```

## Properties
Space-group type ... Cm (8)
E_form (uncorrected) ... -85.7 kJ/mol of atoms

---

DFT (PBE) results for a relaxed Re2Sb2F crystal.

The structure in POSCAR format:
```
Re2Sb2F
1.0
3.644 0.000 0.000
0.000 3.644 0.000
1.822 1.822 7.714
Re F Sb
2 1 2
Direct
0.750 0.250 0.500 Re
0.250 0.750 0.500 Re
0.000 0.000 0.000 F
0.392 0.392 0.217 Sb
0.608 0.608 0.783 Sb
```

## Properties
Space-group type ... I4/mmm (139)
E_form (uncorrected) ... -9.0 kJ/mol of atoms
Energy above the lowest structure with this stoichiometry ... 0 meV/atom

---

DFT (PBE) results for a relaxed ZrPRh2 crystal.

The structure in POSCAR format:
```
ZrPRh2
1.0
-3.590 -2.116 2.515
-2.177 3.217 2.933
1.099 0.081 -4.741
Zr P Rh
1 1 2
Direct
0.500 0.500 0.000 Zr
0.000 0.000 0.000 P
0.750 0.250 0.500 Rh
0.250 0.750 0.500 Rh
```

## Properties
Space-group type ... I4/mmm (139)
Total energy ... -7.888 eV per atom

---

DFT (PBE) results for a relaxed SmYErCd crystal.

The structure in POSCAR format:
```
SmYErCd
1.0
-2.885 0.593 -2.080
-1.452 -3.101 1.130
-4.021 4.370 6.822
Sm Y Er Cd
1 1 1 1
Direct
0.000 0.000 0.074 Sm
0.500 0.500 0.794 Y
0.500 0.500 0.349 Er
0.000 0.000 0.568 Cd
```

## Properties
Space-group type ... P4mm (99)
Energy above the lowest structure with this stoichiometry ... 0 meV/atom

---

DFT (PBE) results for a relaxed Li2ZrNbPb crystal.

The structure in POSCAR format:
```
Li2ZrNbPb
1.0
5.020 0.000 0.000
0.000 4.895 0.000
0.000 0.000 5.020
Pb Nb Zr Li
1 1 1 2
Direct
0.500 0.500 0.500 Pb
0.000 0.000 0.000 Nb
0.000 0.500 0.000 Zr
0.000 0.000 0.500 Li
0.500 0.000 0.000 Li
```

## Properties
Space-group type ... P4/mmm (123)
Total energy ... -4.343 eV per atom

---

DFT (PBE) results for a relaxed Tb2NdSb crystal.

The structure in POSCAR format:
```
Tb2NdSb
1.0
3.992 0.000 0.000
1.996 3.457 0.000
1.996 1.152 9.781
Nd Tb Sb
1 2 1
Direct
0.500 0.500 0.500 Nd
0.267 0.267 0.200 Tb
0.733 0.733 0.800 Tb
0.000 0.000 0.000 Sb
```

## Properties
Space-group type ... R-3m (166)
E_form (uncorrected) ... -32.8 kJ/mol of atoms
Energy above the lowest structure with this stoichiometry ... 227 meV/atom

---

DFT (PBE) results for a relaxed ZrAsAu3 crystal.

The structure in POSCAR format:
```
ZrAsAu3
1.0
-2.477 3.489 -2.956
2.924 -1.376 -4.075
-3.516 -3.603 -1.306
As Au Zr
1 3 1
Direct
0.500 0.500 0.500 As
0.000 0.500 0.000 Au
0.000 0.000 0.500 Au
0.500 0.000 0.000 Au
0.000 0.000 0.000 Zr
```

## Properties
Space-group type ... Pm-3m (221)
Energy above the lowest structure with this stoichiometry ... 556 meV/atom

---

DFT (PBE) results for a relaxed Dy2Zn3Ru2 crystal.

The structure in POSCAR format:
```
Dy2Zn3Ru2
1.0
-3.736 -1.961 1.031
3.725 -0.161 4.040
-2.794 5.650 0.623
Dy Zn Ru
2 3 2
Direct
0.620 0.241 0.347 Dy
0.380 0.759 0.653 Dy
0.293 0.586 0.122 Zn
0.000 0.000 0.000 Zn
0.707 0.414 0.878 Zn
0.090 0.181 0.672 Ru
0.910 0.819 0.328 Ru
```

## Properties
Space-group type ... C2/m (12)
Total energy ... -4.810 eV per atom